First-principles (GGA-PBE) data for crystalline CeMgHg4 at its relaxed geometry, as listed in Alexandria via LeMat-Bulk.

The space group is P2_1/m (No. 11) and the conventional cell measures 4.878, 7.832 and 8.212 Å, with angles of 90.00, 107.14 and 90.00 degrees. Symmetry generates all atoms from Ce at (0.171, 0.250, 0.342), Mg at (0.151, 0.750, 0.300), Hg at (0.000, 0.000, 0.000), Hg at (0.337, 0.029, 0.677) and Hg at (0.479, 0.750, 0.959).

Its density is 10.71 g cm⁻³. As for the energy of formation from the pure elements: -230 meV per atom. For the raw total energy, the calculation gives -1.69 eV per atom.